(1)
# Rb2CeAgBr6, optimized geometry, DFT PBE
# Raw formation energy, kJ/mol of formula units: -1433
# V, Å³/f.u.: 380.5
# Energy above the lowest structure with this stoichiometry, meV per atom: 25
# Theoretical density, g cm⁻³: 3.920
data_Rb2CeAgBr6
_cell_length_a 11.5029
_cell_length_b 11.5029
_cell_length_c 11.5029
_cell_angle_alpha 90.00
_cell_angle_beta 90.00
_cell_angle_gamma 90.00
_symmetry_space_group_name_H-M 'F m -3 m'
_symmetry_Int_Tables_number 225
_symmetry_space_group_name_Hall '-F 4 2 3'
loop_
_atom_site_label
_atom_site_fract_x
_atom_site_fract_y
_atom_site_fract_z
_atom_site_occupancy
Rb1 0.2500 0.2500 0.2500 1
Ce1 0.0000 0.0000 0.0000 1
Ag1 0.0000 0.0000 0.5000 1
Br1 0.0000 0.0000 0.2516 1



(2)
# RbCeAg2Br6, optimized geometry, DFT PBE
# Raw formation energy, kJ/mol of formula units: -1159
# V, Å³/f.u.: 401.1
# Theoretical density, g cm⁻³: 3.811
data_RbCeAg2Br6
_cell_length_a 7.6406
_cell_length_b 7.6406
_cell_length_c 23.8144
_cell_angle_alpha 90.00
_cell_angle_beta 90.00
_cell_angle_gamma 120.00
_symmetry_space_group_name_H-M 'R 3'
_symmetry_Int_Tables_number 146
_symmetry_space_group_name_Hall 'R 3'
loop_
_atom_site_label
_atom_site_fract_x
_atom_site_fract_y
_atom_site_fract_z
_atom_site_occupancy
Rb1 0.0000 0.0000 0.0000 1
Ce1 0.0000 0.0000 0.5001 1
Ag1 0.0000 0.0000 0.2241 1
Ag2 0.0000 0.0000 0.7760 1
Br1 0.0005 0.3131 0.4286 1
Br2 0.0209 0.6673 0.2383 1



(3)
# RbCeAgBr6, optimized geometry, DFT PBE
# Raw formation energy, kJ/mol of formula units: -1181
# V, Å³/f.u.: 360.4
# Theoretical density, g cm⁻³: 3.746
data_RbCeAgBr6
_cell_length_a 7.3349
_cell_length_b 7.3349
_cell_length_c 15.4692
_cell_angle_alpha 90.00
_cell_angle_beta 90.00
_cell_angle_gamma 120.00
_symmetry_space_group_name_H-M 'P -3 1 c'
_symmetry_Int_Tables_number 163
_symmetry_space_group_name_Hall '-P 3 2c'
loop_
_atom_site_label
_atom_site_fract_x
_atom_site_fract_y
_atom_site_fract_z
_atom_site_occupancy
Rb1 0.0000 0.0000 0.0000 1
Ce1 0.3333 0.6667 0.2500 1
Ag1 0.3333 0.6667 0.7500 1
Br1 0.0092 0.3717 0.1430 1



(4)
# Rb2CeAgBr6, optimized geometry, DFT PBE
# Raw formation energy, kJ/mol of formula units: -1457
# V, Å³/f.u.: 365.4
# Energy above the lowest structure with this stoichiometry, meV per atom: 0
# Theoretical density, g cm⁻³: 4.083
data_Rb2CeAgBr6
_cell_length_a 7.9214
_cell_length_b 8.2065
_cell_length_c 13.6899
_cell_angle_alpha 90.00
_cell_angle_beta 124.81
_cell_angle_gamma 90.00
_symmetry_space_group_name_H-M 'P 1 21/c 1'
_symmetry_Int_Tables_number 14
loop_
_symmetry_equiv_pos_as_xyz
'x,y,z'
'-x,-y,-z'
'-x,y+1/2,-z+1/2'
'x,-y+1/2,z+1/2'
loop_
_atom_site_label
_atom_site_fract_x
_atom_site_fract_y
_atom_site_fract_z
_atom_site_occupancy
Rb1 0.2289 0.0641 0.2482 1
Ce1 0.5000 0.0000 0.0000 1
Ag1 0.0000 0.0000 0.5000 1
Br1 0.1602 0.2034 0.9561 1
Br2 0.2568 0.7069 0.9578 1
Br3 0.3325 0.0171 0.7472 1



(5)
# CeAg2SnBr8, optimized geometry, DFT PBE
# Raw formation energy, kJ/mol of formula units: -1091
# V, Å³/f.u.: 406.5
# Theoretical density, g cm⁻³: 4.550
data_CeAg2SnBr8
_cell_length_a 6.7408
_cell_length_b 7.0130
_cell_length_c 8.6283
_cell_angle_alpha 90.31
_cell_angle_beta 90.34
_cell_angle_gamma 94.71
_symmetry_space_group_name_H-M 'P -1'
_symmetry_Int_Tables_number 2
loop_
_symmetry_equiv_pos_as_xyz
'x,y,z'
'-x,-y,-z'
loop_
_atom_site_label
_atom_site_fract_x
_atom_site_fract_y
_atom_site_fract_z
_atom_site_occupancy
Ce1 0.0000 0.0000 0.0000 1
Ag1 0.4969 0.4977 0.2559 1
Sn1 0.0000 0.0000 0.5000 1
Br1 0.2165 0.8319 0.7614 1
Br2 0.2178 0.8333 0.2390 1
Br3 0.2815 0.3254 0.0006 1
Br4 0.2850 0.3304 0.5022 1



(6)
# CeTlAgBr6, optimized geometry, DFT PBE
# Raw formation energy, kJ/mol of formula units: -1002
# V, Å³/f.u.: 338.1
# Theoretical density, g cm⁻³: 4.577
data_CeTlAgBr6
_cell_length_a 7.2950
_cell_length_b 7.2950
_cell_length_c 14.6710
_cell_angle_alpha 90.00
_cell_angle_beta 90.00
_cell_angle_gamma 120.00
_symmetry_space_group_name_H-M 'P -3 1 c'
_symmetry_Int_Tables_number 163
_symmetry_space_group_name_Hall '-P 3 2c'
loop_
_atom_site_label
_atom_site_fract_x
_atom_site_fract_y
_atom_site_fract_z
_atom_site_occupancy
Ce1 0.3333 0.6667 0.2500 1
Tl1 0.0000 0.0000 0.0000 1
Ag1 0.3333 0.6667 0.7500 1
Br1 0.0086 0.3660 0.1377 1



(7)
# CeTlAg2Br8, optimized geometry, DFT PBE
# Raw formation energy, kJ/mol of formula units: -1035
# V, Å³/f.u.: 410.0
# Theoretical density, g cm⁻³: 4.857
data_CeTlAg2Br8
_cell_length_a 6.7418
_cell_length_b 6.9017
_cell_length_c 8.8448
_cell_angle_alpha 91.95
_cell_angle_beta 91.87
_cell_angle_gamma 94.02
_symmetry_space_group_name_H-M 'P -1'
_symmetry_Int_Tables_number 2
loop_
_symmetry_equiv_pos_as_xyz
'x,y,z'
'-x,-y,-z'
loop_
_atom_site_label
_atom_site_fract_x
_atom_site_fract_y
_atom_site_fract_z
_atom_site_occupancy
Ce1 0.0000 0.0000 0.0000 1
Tl1 0.0000 0.0000 0.5000 1
Ag1 0.4835 0.4856 0.2591 1
Br1 0.2096 0.8122 0.7764 1
Br2 0.2189 0.8221 0.2242 1
Br3 0.2877 0.3177 0.0040 1
Br4 0.3062 0.3219 0.5091 1



(8)
# AgBrCl2, optimized geometry, DFT PBE
# Raw formation energy, kJ/mol of formula units: -87
# V, Å³/f.u.: 115.8
# Energy above the lowest structure with this stoichiometry, meV per atom: 0
# Theoretical density, g cm⁻³: 3.708
data_AgBrCl2
_cell_length_a 4.1975
_cell_length_b 4.1975
_cell_length_c 22.7772
_cell_angle_alpha 90.00
_cell_angle_beta 90.00
_cell_angle_gamma 120.00
_symmetry_space_group_name_H-M 'R -3 m'
_symmetry_Int_Tables_number 166
_symmetry_space_group_name_Hall '-R 3 2"'
loop_
_atom_site_label
_atom_site_fract_x
_atom_site_fract_y
_atom_site_fract_z
_atom_site_occupancy
Ag1 0.0000 0.0000 0.0000 1
Br1 0.0000 0.0000 0.5000 1
Cl1 0.0000 0.0000 0.3933 1